## 1
Computed, not measured: a relaxed MoOsRu2 crystal at the PBEsol level of DFT.

Calculated values
theoretical density: 14.5 g cm⁻³

a = 3.811 Å, b = 3.811 Å, c = 7.687 Å
α = 90.00°, β = 90.00°, γ = 90.00°
Space group I4/mmm (No. 139)
One atom of each set of equivalent atoms:
Mo 0.000 0.000 0.000 x2
Os 0.000 0.000 0.500 x2
Ru 0.000 0.500 0.250 x4

## 2
Computed, not measured: a relaxed MoOsRu2 crystal at the PBEsol level of DFT.

Calculated values
theoretical density: 14.5 g cm⁻³

a = 3.823 Å, b = 3.823 Å, c = 3.817 Å
α = 90.00°, β = 90.00°, γ = 90.00°
Space group P4/mmm (No. 123)
One atom of each set of equivalent atoms:
Mo 0.000 0.000 0.000 x1
Os 0.500 0.500 0.000 x1
Ru 0.000 0.500 0.500 x2

## 3
Computed, not measured: a relaxed MoOsRu2 crystal at the PBEsol level of DFT.

Calculated values
theoretical density: 14.5 g cm⁻³

a = 2.703 Å, b = 2.703 Å, c = 7.669 Å
α = 90.00°, β = 90.00°, γ = 90.00°
Space group P4mm (No. 99)
One atom of each set of equivalent atoms:
Mo 0.000 0.000 0.000 x1
Os 0.500 0.500 0.266 x1
Ru 0.000 0.000 0.504 x1
Ru 0.500 0.500 0.752 x1

Most stable one: 2, least stable one: 3.